## w
## GeTeF (PBE-GGA)

Data for an optimized crystal structure of GeTeF. Values from VASP.

V, Å³ per atom: 30.6
Space-group type: I4mm, No. 107

Quantum ESPRESSO input file:
```
&SYSTEM
  ibrav = 0, nat = 3, ntyp = 3
/
ATOMIC_SPECIES
Ge 72.64 Ge.upf
Te 127.60 Te.upf
F 19.00 F.upf
ATOMIC_POSITIONS crystal
Ge 0.000 0.000 0.000
Te 0.567 0.567 0.000
F 0.855 0.855 0.000
CELL_PARAMETERS angstrom
-1.932 1.932 6.143
1.932 -1.932 6.143
1.932 1.932 -6.143
```



## x
## GeTeF (PBE-GGA)

Data for an optimized crystal structure of GeTeF. Values from VASP.

V, Å³ per atom: 30.3
Space-group type: P-1, No. 2

Quantum ESPRESSO input file:
```
&SYSTEM
  ibrav = 0, nat = 6, ntyp = 3
/
ATOMIC_SPECIES
Ge 72.64 Ge.upf
Te 127.60 Te.upf
F 19.00 F.upf
ATOMIC_POSITIONS crystal
Ge 0.078 0.112 0.158
Ge 0.922 0.888 0.842
Te 0.364 0.603 0.725
Te 0.636 0.397 0.275
F 0.126 0.876 0.255
F 0.874 0.124 0.745
CELL_PARAMETERS angstrom
4.003 0.000 0.000
-0.001 5.903 0.000
-1.994 -2.405 7.705
```



## y
## GeTeF (PBE-GGA)

Data for an optimized crystal structure of GeTeF. Values from VASP.

V, Å³ per atom: 19.3
Space-group type: P3m1, No. 156

Quantum ESPRESSO input file:
```
&SYSTEM
  ibrav = 0, nat = 3, ntyp = 3
/
ATOMIC_SPECIES
Ge 72.64 Ge.upf
Te 127.60 Te.upf
F 19.00 F.upf
ATOMIC_POSITIONS crystal
Ge 0.000 0.000 0.000
Te 0.667 0.333 0.612
F 0.333 0.667 0.122
CELL_PARAMETERS angstrom
4.406 0.000 0.000
-2.203 3.816 0.000
0.000 0.000 3.442
```



Energies relative to the most stable structure are w 3.6; x 0.0; y 30.4, reported in kJ/mol of atoms.